Computed, not measured: HoTaIn after structural relaxation at the PBE level of DFT.

For the total energy, the calculation gives -5.27 eV/atom.

The space group is F-43m (No. 216) and the conventional cell measures 6.993, 6.993 and 6.993 Å, with angles of 90.00, 90.00 and 90.00 degrees. The asymmetric unit holds Ho at (0.000, 0.000, 0.000), Ta at (0.250, 0.250, 0.250) and In at (0.250, 0.250, 0.750).